RbCrN2F | Alexandria via LeMat-Bulk | GGA+U | relaxed; energy relative to the lowest polymorph listed for this composition = 1.678 eV/atom; spin magnetization = 4.000 μB per cell; space-group type = P4/mmm, No. 123
1.0
5.246 0.000 0.000
0.000 5.246 0.000
0.000 0.000 3.771
Rb Cr N F
1 1 2 1
Direct
0.000 0.000 0.000
0.500 0.500 0.000
0.000 0.500 0.500
0.500 0.000 0.500
0.500 0.500 0.500